# 1
The following is a PBE calculation of a relaxed structure of Pr3Mg2Pd3, from Alexandria via LeMat-Bulk.

Cell: 8.6358 8.6358 5.9502 Å, 90.00 90.00 120.00°
Space group P6_3/mcm (No. 193)
Unique sites:
Pr  0.0000  0.2667  0.2500 [6 per cell]
Mg  0.3333  0.6667  0.0000 [4 per cell]
Pd  0.0000  0.3975  0.7500 [6 per cell]

Summary:
Density of states at the Fermi level in states/eV/atom: 0.7034
Energy of formation from the pure elements in eV per atom: -0.63
V in Å³ per cell: 384.30

# 2
The following is a PBE calculation of a relaxed structure of Pr3MgPd12, from Alexandria via LeMat-Bulk.

Cell: 4.184 4.184 16.466 Å, 90.00 90.00 90.00°
Space group P4/mmm (No. 123)
Unique sites:
Pr  0.000  0.000  0.000 [1 per cell]
Pr  0.000  0.000  0.260 [2 per cell]
Mg  0.000  0.000  0.500 [1 per cell]
Pd  0.000  0.500  0.129 [4 per cell]
Pd  0.000  0.500  0.388 [4 per cell]
Pd  0.500  0.500  0.000 [1 per cell]
Pd  0.500  0.500  0.257 [2 per cell]
Pd  0.500  0.500  0.500 [1 per cell]

Summary:
Density of states at the Fermi level in states/eV/atom: 0.8860
Energy of formation from the pure elements in eV per atom: -0.66
V in Å³ per cell: 288.23

# 3
The following is a PBE calculation of a relaxed structure of Pr2Mg3Pd4, from Alexandria via LeMat-Bulk.

Cell: 5.879 16.674 7.622 Å, 90.00 90.00 90.00°
Space group Cmce (No. 64)
Unique sites:
Pr  0.000  0.107  0.083 [8 per cell]
Mg  0.000  0.000  0.500 [4 per cell]
Mg  0.250  0.228  0.750 [8 per cell]
Pd  0.000  0.170  0.472 [8 per cell]
Pd  0.250  0.066  0.750 [8 per cell]

Summary:
Density of states at the Fermi level in states/eV/atom: 0.6710
Energy of formation from the pure elements in eV per atom: -0.66
V in Å³ per cell: 747.19

# 4
The following is a PBE calculation of a relaxed structure of Pr4Mg5Pd2, from Alexandria via LeMat-Bulk.

Cell: 7.989 3.808 10.010 Å, 90.00 92.97 90.00°
Space group P2/m (No. 10)
Unique sites:
Pr  0.165  0.000  0.358 [2 per cell]
Pr  0.230  0.000  0.948 [2 per cell]
Mg  0.187  0.500  0.657 [2 per cell]
Mg  0.444  0.500  0.187 [2 per cell]
Mg  0.500  0.500  0.500 [1 per cell]
Pd  0.064  0.500  0.139 [2 per cell]

Summary:
Density of states at the Fermi level in states/eV/atom: 0.8965
Energy of formation from the pure elements in eV per atom: -0.31
V in Å³ per cell: 304.12

Q: What is the density of states at the Fermi level in the first record?
A: 0.7034 states/eV/atom